Here is crystalline Pm3NdHg2 at its relaxed geometry from Alexandria via LeMat-Bulk. Energies are from PBE.

## Properties
DFT total energy: -21.5 eV/cell
theoretical density: 9.0 Mg/m³
excess energy over the best structure of this formula in the dataset: 0.0219 eV/atom
size of the total moment: 0.0604 μB per atom
E_form: -0.31 eV per atom

Lattice parameters (Å, degrees): 3.757 3.757 12.788 90.00 90.00 90.00
Space group P4/mmm (No. 123)
One atom of each set of equivalent atoms:
Pm 0.000 0.000 0.000 [1 per cell]
Pm 0.000 0.000 0.303 [2 per cell]
Nd 0.500 0.500 0.500 [1 per cell]
Hg 0.500 0.500 0.154 [2 per cell]

Here is crystalline DyRhO at its relaxed geometry from Alexandria via LeMat-Bulk. Energies are from PBE.

## Properties
DFT total energy: -87.4 eV/cell
theoretical density: 7.3 Mg/m³
formation energy (no corrections): -1649 meV per atom
size of the total moment: 0.0000 μB per atom

Lattice parameters (Å, degrees): 6.567 3.761 10.469 90.00 98.42 90.00
Space group C2/m (No. 12)
One atom of each set of equivalent atoms:
Dy 0.105 0.000 0.236 [4 per cell]
Rh 0.175 0.000 0.540 [4 per cell]
O 0.075 0.500 0.818 [4 per cell]

Here is crystalline LiCaGaN at its relaxed geometry from Alexandria via LeMat-Bulk. Energies are from PBE.

## Properties
DFT total energy: -35.4 eV/cell
theoretical density: 3.3 Mg/m³
formation energy (no corrections): -605 meV per atom
size of the total moment: 0.0000 μB per atom

Lattice parameters (Å, degrees): 3.524 3.524 10.598 90.00 90.00 90.00
Space group I4mm (No. 107)
One atom of each set of equivalent atoms:
Li 0.000 0.000 0.000 [2 per cell]
Ca 0.000 0.000 0.673 [2 per cell]
Ga 0.000 0.000 0.363 [2 per cell]
N 0.000 0.000 0.185 [2 per cell]